[1]
# CeYAl2Zn2 | Alexandria | PBE-GGA | relaxed
# Mass density   5.32 g cm⁻³
# Raw total energy   -4.14 eV per atom
data_CeYAl2Zn2
_cell_length_a 4.490
_cell_length_b 4.490
_cell_length_c 7.396
_cell_angle_alpha 90.00
_cell_angle_beta 90.00
_cell_angle_gamma 120.00
_space_group_name_H-M_alt 'P 1'
_space_group_IT_number 1
_space_group_name_Hall 'P 1'
loop_
_atom_site_label
_atom_site_type_symbol
_atom_site_fract_x
_atom_site_fract_y
_atom_site_fract_z
_atom_site_occupancy
Ce1 Ce 0.000 0.000 0.000 1
Y1 Y 0.000 0.000 0.500 1
Al1 Al 0.333 0.667 0.256 1
Al2 Al 0.667 0.333 0.744 1
Zn1 Zn 0.333 0.667 0.736 1
Zn2 Zn 0.667 0.333 0.264 1

[2]
# CeYAlZn | Alexandria | PBE-GGA | relaxed
# Mass density   5.61 g cm⁻³
# Raw total energy   -4.67 eV per atom
data_CeYAlZn
_cell_length_a 5.123
_cell_length_b 5.123
_cell_length_c 5.123
_cell_angle_alpha 60.00
_cell_angle_beta 60.00
_cell_angle_gamma 60.00
_space_group_name_H-M_alt 'P 1'
_space_group_IT_number 1
_space_group_name_Hall 'P 1'
loop_
_atom_site_label
_atom_site_type_symbol
_atom_site_fract_x
_atom_site_fract_y
_atom_site_fract_z
_atom_site_occupancy
Ce1 Ce 0.000 0.000 0.000 1
Y1 Y 0.500 0.500 0.500 1
Al1 Al 0.750 0.750 0.750 1
Zn1 Zn 0.250 0.250 0.250 1

[3]
# Ce15Al4Zn | Alexandria | PBE-GGA | relaxed
# Mass density   7.43 g cm⁻³
# Raw total energy   -5.39 eV per atom
data_Ce15Al4Zn
_cell_length_a 4.674
_cell_length_b 4.674
_cell_length_c 23.284
_cell_angle_alpha 90.00
_cell_angle_beta 90.00
_cell_angle_gamma 90.00
_space_group_name_H-M_alt 'P 1'
_space_group_IT_number 1
_space_group_name_Hall 'P 1'
loop_
_atom_site_label
_atom_site_type_symbol
_atom_site_fract_x
_atom_site_fract_y
_atom_site_fract_z
_atom_site_occupancy
Ce1 Ce 0.000 0.000 0.000 1
Ce2 Ce 0.000 0.000 0.199 1
Ce3 Ce 0.000 0.000 0.400 1
Ce4 Ce 0.000 0.000 0.600 1
Ce5 Ce 0.000 0.000 0.801 1
Ce6 Ce 0.000 0.500 0.100 1
Ce7 Ce 0.000 0.500 0.299 1
Ce8 Ce 0.000 0.500 0.500 1
Ce9 Ce 0.000 0.500 0.701 1
Ce10 Ce 0.000 0.500 0.900 1
Ce11 Ce 0.500 0.000 0.100 1
Ce12 Ce 0.500 0.000 0.299 1
Ce13 Ce 0.500 0.000 0.500 1
Ce14 Ce 0.500 0.000 0.701 1
Ce15 Ce 0.500 0.000 0.900 1
Al1 Al 0.500 0.500 0.199 1
Al2 Al 0.500 0.500 0.400 1
Al3 Al 0.500 0.500 0.600 1
Al4 Al 0.500 0.500 0.801 1
Zn1 Zn 0.500 0.500 0.000 1

[4]
# Ce2Al5Zn3 | Alexandria | PBE-GGA | relaxed
# Mass density   5.18 g cm⁻³
# Raw total energy   -3.77 eV per atom
data_Ce2Al5Zn3
_cell_length_a 4.244
_cell_length_b 4.244
_cell_length_c 10.888
_cell_angle_alpha 90.00
_cell_angle_beta 90.00
_cell_angle_gamma 90.00
_space_group_name_H-M_alt 'P 1'
_space_group_IT_number 1
_space_group_name_Hall 'P 1'
loop_
_atom_site_label
_atom_site_type_symbol
_atom_site_fract_x
_atom_site_fract_y
_atom_site_fract_z
_atom_site_occupancy
Ce1 Ce 0.000 0.500 0.250 1
Ce2 Ce 0.500 0.000 0.750 1
Al1 Al 0.000 0.000 0.000 1
Al2 Al 0.000 0.000 0.500 1
Al3 Al 0.000 0.500 0.854 1
Al4 Al 0.500 0.000 0.146 1
Al5 Al 0.500 0.500 0.000 1
Zn1 Zn 0.000 0.500 0.630 1
Zn2 Zn 0.500 0.000 0.370 1
Zn3 Zn 0.500 0.500 0.500 1

[5]
# CeAl8Zn4 | Alexandria | PBE-GGA | relaxed
# Mass density   4.61 g cm⁻³
# Raw total energy   -3.27 eV per atom
data_CeAl8Zn4
_cell_length_a 7.023
_cell_length_b 7.023
_cell_length_c 7.023
_cell_angle_alpha 98.00
_cell_angle_beta 98.00
_cell_angle_gamma 136.18
_space_group_name_H-M_alt 'P 1'
_space_group_IT_number 1
_space_group_name_Hall 'P 1'
loop_
_atom_site_label
_atom_site_type_symbol
_atom_site_fract_x
_atom_site_fract_y
_atom_site_fract_z
_atom_site_occupancy
Ce1 Ce 0.000 0.000 0.000 1
Al1 Al 0.000 0.355 0.355 1
Al2 Al 0.000 0.645 0.645 1
Al3 Al 0.283 0.500 0.783 1
Al4 Al 0.355 0.000 0.355 1
Al5 Al 0.500 0.283 0.783 1
Al6 Al 0.500 0.717 0.217 1
Al7 Al 0.645 0.000 0.645 1
Al8 Al 0.717 0.500 0.217 1
Zn1 Zn 0.000 0.000 0.500 1
Zn2 Zn 0.000 0.500 0.000 1
Zn3 Zn 0.500 0.000 0.000 1
Zn4 Zn 0.500 0.500 0.500 1

[6]
# Ce9Al2Zn | Alexandria | PBE-GGA | relaxed
# Mass density   7.55 g cm⁻³
# Raw total energy   -5.29 eV per atom
data_Ce9Al2Zn
_cell_length_a 4.663
_cell_length_b 4.663
_cell_length_c 13.963
_cell_angle_alpha 90.00
_cell_angle_beta 90.00
_cell_angle_gamma 90.00
_space_group_name_H-M_alt 'P 1'
_space_group_IT_number 1
_space_group_name_Hall 'P 1'
loop_
_atom_site_label
_atom_site_type_symbol
_atom_site_fract_x
_atom_site_fract_y
_atom_site_fract_z
_atom_site_occupancy
Ce1 Ce 0.000 0.000 0.000 1
Ce2 Ce 0.000 0.000 0.331 1
Ce3 Ce 0.000 0.000 0.669 1
Ce4 Ce 0.000 0.500 0.166 1
Ce5 Ce 0.000 0.500 0.500 1
Ce6 Ce 0.000 0.500 0.834 1
Ce7 Ce 0.500 0.000 0.166 1
Ce8 Ce 0.500 0.000 0.500 1
Ce9 Ce 0.500 0.000 0.834 1
Al1 Al 0.500 0.500 0.332 1
Al2 Al 0.500 0.500 0.668 1
Zn1 Zn 0.500 0.500 0.000 1

[7]
# Ce6Al2Zn | Alexandria | PBE-GGA | relaxed
# Distance to the lowest polymorph of the same formula   0 meV per atom
# Mass density   7.96 g cm⁻³
# Raw total energy   -5.10 eV per atom
data_Ce6Al2Zn
_cell_length_a 8.888
_cell_length_b 8.888
_cell_length_c 2.928
_cell_angle_alpha 90.00
_cell_angle_beta 90.00
_cell_angle_gamma 120.00
_space_group_name_H-M_alt 'P 1'
_space_group_IT_number 1
_space_group_name_Hall 'P 1'
loop_
_atom_site_label
_atom_site_type_symbol
_atom_site_fract_x
_atom_site_fract_y
_atom_site_fract_z
_atom_site_occupancy
Ce1 Ce 0.000 0.328 0.000 1
Ce2 Ce 0.000 0.672 0.000 1
Ce3 Ce 0.328 0.000 0.000 1
Ce4 Ce 0.328 0.328 0.000 1
Ce5 Ce 0.672 0.000 0.000 1
Ce6 Ce 0.672 0.672 0.000 1
Al1 Al 0.333 0.667 0.500 1
Al2 Al 0.667 0.333 0.500 1
Zn1 Zn 0.000 0.000 0.500 1

[8]
# Ce2Al3Zn9 | Alexandria | PBE-GGA | relaxed
# Mass density   6.39 g cm⁻³
# Raw total energy   -2.71 eV per atom
data_Ce2Al3Zn9
_cell_length_a 7.869
_cell_length_b 7.869
_cell_length_c 9.180
_cell_angle_alpha 90.00
_cell_angle_beta 90.00
_cell_angle_gamma 60.36
_space_group_name_H-M_alt 'P 1'
_space_group_IT_number 1
_space_group_name_Hall 'P 1'
loop_
_atom_site_label
_atom_site_type_symbol
_atom_site_fract_x
_atom_site_fract_y
_atom_site_fract_z
_atom_site_occupancy
Ce1 Ce 0.000 0.326 0.250 1
Ce2 Ce 0.000 0.674 0.750 1
Ce3 Ce 0.326 0.000 0.750 1
Ce4 Ce 0.674 0.000 0.250 1
Al1 Al 0.000 0.000 0.000 1
Al2 Al 0.000 0.000 0.500 1
Al3 Al 0.315 0.315 0.000 1
Al4 Al 0.315 0.315 0.500 1
Al5 Al 0.685 0.685 0.000 1
Al6 Al 0.685 0.685 0.500 1
Zn1 Zn 0.025 0.660 0.092 1
Zn2 Zn 0.025 0.660 0.408 1
Zn3 Zn 0.146 0.854 0.250 1
Zn4 Zn 0.338 0.662 0.557 1
Zn5 Zn 0.338 0.662 0.943 1
Zn6 Zn 0.340 0.975 0.092 1
Zn7 Zn 0.340 0.975 0.408 1
Zn8 Zn 0.356 0.455 0.250 1
Zn9 Zn 0.455 0.356 0.750 1
Zn10 Zn 0.545 0.644 0.250 1
Zn11 Zn 0.644 0.545 0.750 1
Zn12 Zn 0.660 0.025 0.592 1
Zn13 Zn 0.660 0.025 0.908 1
Zn14 Zn 0.662 0.338 0.057 1
Zn15 Zn 0.662 0.338 0.443 1
Zn16 Zn 0.854 0.146 0.750 1
Zn17 Zn 0.975 0.340 0.592 1
Zn18 Zn 0.975 0.340 0.908 1

[9]
# CeAlZn2 | Alexandria | PBE-GGA | relaxed
# Mass density   6.45 g cm⁻³
# Raw total energy   -3.19 eV per atom
data_CeAlZn2
_cell_length_a 3.281
_cell_length_b 3.281
_cell_length_c 7.122
_cell_angle_alpha 90.00
_cell_angle_beta 90.00
_cell_angle_gamma 90.00
_space_group_name_H-M_alt 'P 1'
_space_group_IT_number 1
_space_group_name_Hall 'P 1'
loop_
_atom_site_label
_atom_site_type_symbol
_atom_site_fract_x
_atom_site_fract_y
_atom_site_fract_z
_atom_site_occupancy
Ce1 Ce 0.000 0.000 0.000 1
Al1 Al 0.000 0.000 0.500 1
Zn1 Zn 0.500 0.500 0.298 1
Zn2 Zn 0.500 0.500 0.702 1

[10]
# Ce4AlZn3 | Alexandria | PBE-GGA | relaxed
# Mass density   7.57 g cm⁻³
# Raw total energy   -4.11 eV per atom
data_Ce4AlZn3
_cell_length_a 3.199
_cell_length_b 4.456
_cell_length_c 12.066
_cell_angle_alpha 90.00
_cell_angle_beta 90.00
_cell_angle_gamma 90.00
_space_group_name_H-M_alt 'P 1'
_space_group_IT_number 1
_space_group_name_Hall 'P 1'
loop_
_atom_site_label
_atom_site_type_symbol
_atom_site_fract_x
_atom_site_fract_y
_atom_site_fract_z
_atom_site_occupancy
Ce1 Ce 0.000 0.000 0.000 1
Ce2 Ce 0.000 0.500 0.363 1
Ce3 Ce 0.500 0.000 0.498 1
Ce4 Ce 0.500 0.500 0.865 1
Al1 Al 0.000 0.000 0.736 1
Zn1 Zn 0.000 0.500 0.625 1
Zn2 Zn 0.500 0.000 0.236 1
Zn3 Zn 0.500 0.500 0.127 1

[11]
# Ce3AlZn8 | Alexandria | PBE-GGA | relaxed
# Mass density   7.04 g cm⁻³
# Raw total energy   -2.83 eV per atom
data_Ce3AlZn8
_cell_length_a 9.361
_cell_length_b 9.361
_cell_length_c 9.361
_cell_angle_alpha 34.01
_cell_angle_beta 34.01
_cell_angle_gamma 34.01
_space_group_name_H-M_alt 'P 1'
_space_group_IT_number 1
_space_group_name_Hall 'P 1'
loop_
_atom_site_label
_atom_site_type_symbol
_atom_site_fract_x
_atom_site_fract_y
_atom_site_fract_z
_atom_site_occupancy
Ce1 Ce 0.000 0.000 0.000 1
Ce2 Ce 0.125 0.125 0.125 1
Ce3 Ce 0.503 0.503 0.503 1
Al1 Al 0.629 0.629 0.629 1
Zn1 Zn 0.061 0.563 0.563 1
Zn2 Zn 0.063 0.063 0.566 1
Zn3 Zn 0.063 0.566 0.063 1
Zn4 Zn 0.314 0.314 0.314 1
Zn5 Zn 0.563 0.061 0.563 1
Zn6 Zn 0.563 0.563 0.061 1
Zn7 Zn 0.566 0.063 0.063 1
Zn8 Zn 0.812 0.812 0.812 1